Record 1
Compound: Tb3CeSm7
Source: Alexandria
Functional: PBE
Structure: optimized geometry

formation enthalpy at 0 K: 23.6 kJ per mole of atoms
total energy: -4.561 eV per atom
space group: Immm, No. 71

abc: 5.8514 8.4968 8.4968
angles: 83.75 110.11 110.11
Closest atoms and distances in Å follow each position.
Atoms (fractional coordinates):
Tb: 0.0000 0.7971 0.2029  9 Sm 3.33-3.69, 2 Tb 3.72
Tb: 0.5000 0.0000 0.0000  4 Sm 3.22
Tb: 0.0000 0.2029 0.7971  9 Sm 3.33-3.69, 2 Tb 3.72
Ce: 0.5000 0.5000 0.5000  4 Sm 2.93-3.21
Sm: 0.2142 0.2141 0.2141  1 Ce 3.21, 2 Tb 3.33, 2 Sm 3.50
Sm: 0.3002 0.0042 0.5964  2 Tb 3.22-3.53, 3 Sm 3.31-3.50
Sm: 0.6998 0.4036 0.9958  2 Tb 3.22-3.53, 3 Sm 3.31-3.50
Sm: 0.3002 0.5964 0.0042  2 Tb 3.22-3.53, 3 Sm 3.31-3.50
Sm: 0.0000 0.5000 0.5000  2 Ce 2.93
Sm: 0.6998 0.9958 0.4036  2 Tb 3.22-3.53, 3 Sm 3.31-3.50
Sm: 0.7858 0.7859 0.7859  1 Ce 3.21, 2 Tb 3.33, 2 Sm 3.50

***

Record 2
Compound: Co2Ir3Rh5
Source: Alexandria
Functional: PBE
Structure: optimized geometry

formation enthalpy at 0 K: 2.7 kJ per mole of atoms
total energy: -7.727 eV per atom
space group: C2/m, No. 12

abc: 2.7088 4.6463 11.6985
angles: 77.97 83.35 73.05
Closest atoms and distances in Å follow each position.
Atoms (fractional coordinates):
Co: 0.4002 0.0007 0.1989  3 Ir 2.64-2.71, 7 Rh 2.65-2.69, 2 Co 2.71
Co: 0.5998 0.9993 0.8011  3 Ir 2.64-2.71, 7 Rh 2.65-2.69, 2 Co 2.71
Ir: 0.5000 0.5000 0.5000  6 Ir 2.71-2.72, 6 Rh 2.71-2.72
Ir: 0.0973 0.5090 0.2965  3 Co 2.64-2.71, 5 Rh 2.65-2.69, 4 Ir 2.71-2.72
Ir: 0.9027 0.4910 0.7035  3 Co 2.64-2.71, 5 Rh 2.65-2.69, 4 Ir 2.71-2.72
Rh: 0.0000 0.0000 0.0000  4 Co 2.68, 8 Rh 2.68-2.71
Rh: 0.1990 0.9964 0.6057  2 Co 2.65, 6 Ir 2.65-2.72, 4 Rh 2.71-2.80
Rh: 0.8010 0.0036 0.3943  2 Co 2.65, 6 Ir 2.65-2.72, 4 Rh 2.71-2.80
Rh: 0.7016 0.4949 0.1018  2 Ir 2.65, 3 Co 2.65-2.69, 7 Rh 2.68-2.72
Rh: 0.2984 0.5051 0.8982  2 Ir 2.65, 3 Co 2.65-2.69, 7 Rh 2.68-2.72

***

Record 3
Compound: ZrSb2Br
Source: Alexandria
Functional: PBE
Structure: optimized geometry

offset from the most stable computed form: 122 meV per atom
total energy: -5.009 eV per atom
space group: Pmmm, No. 47
formation energy from raw total energies: -0.393 eV/atom

abc: 3.7592 3.8604 7.2803
angles: 90.00 90.00 90.00
Closest atoms and distances in Å follow each position.
Atoms (fractional coordinates):
Sb: 0.0000 0.0000 0.0487  1 Sb 2.93, 4 Zr 3.07
Sb: 0.0000 0.0000 0.4513  1 Sb 2.93, 4 Zr 3.07
Br: 0.5000 0.5000 0.7500  8 Sb 3.46, 2 Zr 3.64, 4 Br 3.76-3.86
Zr: 0.5000 0.5000 0.2500  8 Sb 3.07

***

Record 4
Compound: AlBiI2O
Source: Alexandria
Functional: PBE
Structure: optimized geometry

offset from the most stable computed form: 507 meV per atom
total energy: -3.314 eV per atom
space group: P4/mmm, No. 123
formation energy from raw total energies: -0.178 eV/atom

abc: 6.3282 6.3282 4.3521
angles: 90.00 90.00 90.00
Closest atoms and distances in Å follow each position.
Atoms (fractional coordinates):
I: 0.0000 0.5000 0.0000  2 Bi 3.16
I: 0.5000 0.0000 0.0000  2 Bi 3.16
Bi: 0.0000 0.0000 0.0000  2 O 2.18
O: 0.0000 0.0000 0.5000  2 Bi 2.18
Al: 0.5000 0.5000 0.5000  8 I 3.84

***

Record 5
Compound: CeBeOsN
Source: Alexandria
Functional: PBE
Structure: optimized geometry

total energy: -8.100 eV per atom
space group: P4/nmm, No. 129
formation energy from raw total energies: -0.796 eV/atom

abc: 3.6808 3.6808 8.3557
angles: 90.00 90.00 90.00
Closest atoms and distances in Å follow each position.
Atoms (fractional coordinates):
Ce: 0.0000 0.5000 0.8434  5 N 2.34-2.62
Ce: 0.5000 0.0000 0.1566  5 N 2.34-2.62
Be: 0.0000 0.5000 0.3181  1 N 1.63
Be: 0.5000 0.0000 0.6819  1 N 1.63
Os: 0.0000 0.0000 0.5000  4 Be 2.39, 4 Os 2.60
Os: 0.5000 0.5000 0.5000  4 Be 2.39, 4 Os 2.60
N: 0.5000 0.0000 0.8765  1 Be 1.63
N: 0.0000 0.5000 0.1235  1 Be 1.63

***

Record 6
Compound: TcAg2P
Source: Alexandria
Functional: PBE
Structure: optimized geometry

formation enthalpy at 0 K: 54.6 kJ per mole of atoms
total energy: -4.804 eV per atom
space group: I-42d, No. 122

abc: 7.5662 7.5662 5.8766
angles: 49.93 49.93 90.00
Closest atoms and distances in Å follow each position.
Atoms (fractional coordinates):
P: 0.5000 0.5000 0.0000  2 Tc 2.43, 4 Ag 2.50
P: 0.2500 0.7500 0.5000  2 Tc 2.43, 4 Ag 2.50
Tc: 0.0000 0.0000 0.0000  2 P 2.43
Tc: 0.7500 0.2500 0.5000  2 P 2.43
Ag: 0.5758 0.1250 0.2500  2 P 2.50, 2 Ag 2.54
Ag: 0.1742 0.6250 0.2500  2 P 2.50, 2 Ag 2.54
Ag: 0.3750 0.4242 0.7500  2 P 2.50, 2 Ag 2.54
Ag: 0.8750 0.8258 0.7500  2 P 2.50, 2 Ag 2.54

***

Record 7
Compound: Ba6AsAu2I3
Source: Alexandria
Functional: PBE
Structure: optimized geometry

total energy: -3.441 eV per atom
space group: C2/m, No. 12
formation energy from raw total energies: -1.159 eV/atom

abc: 8.3423 8.3423 9.0714
angles: 98.85 98.85 120.02
Closest atoms and distances in Å follow each position.
Atoms (fractional coordinates):
Ba: 0.9309 0.6044 0.7920  1 As 3.26, 2 Au 3.33-3.34
Ba: 0.7432 0.7432 0.2090  1 As 3.27, 2 Au 3.34
Ba: 0.0691 0.3956 0.2080  1 As 3.26, 2 Au 3.33-3.34
Ba: 0.6044 0.9309 0.7920  1 As 3.26, 2 Au 3.33-3.34
Ba: 0.2568 0.2568 0.7910  1 As 3.27, 2 Au 3.34
Ba: 0.3956 0.0691 0.2080  1 As 3.26, 2 Au 3.33-3.34
As: 0.0000 0.0000 0.0000  6 Ba 3.26-3.27
Au: 0.3334 0.6666 0.0000  6 Ba 3.33-3.34
Au: 0.6666 0.3334 0.0000  6 Ba 3.33-3.34
I: 0.1657 0.8343 0.5000  6 Ba 3.72-3.80
I: 0.8343 0.1657 0.5000  6 Ba 3.72-3.80
I: 0.5000 0.5000 0.5000  6 Ba 3.73-3.79

***

Record 8
Compound: Ba2ZrCd
Source: Alexandria
Functional: PBE
Structure: optimized geometry

formation enthalpy at 0 K: 24.0 kJ per mole of atoms
total energy: -3.079 eV per atom
space group: Cm, No. 8

abc: 7.2833 7.2833 6.0501
angles: 65.77 65.77 30.51
Closest atoms and distances in Å follow each position.
Atoms (fractional coordinates):
Ba: 0.9847 0.9847 0.0170  4 Cd 3.63, 4 Ba 3.83-4.01, 2 Zr 4.01
Ba: 0.7782 0.7782 0.7198  4 Zr 3.69-3.70, 2 Cd 3.73, 4 Ba 3.83-4.01
Cd: 0.5298 0.5298 0.4727  2 Zr 2.96
Zr: 0.2073 0.2073 0.2905  2 Cd 2.96